1.
Density functional theory data (PBEsol) for a geometry-optimized CaAg2Pb structure.

a b c (Å): 8.366 8.366 8.366
angles (deg): 26.22 26.22 26.22
Fractional coordinates of all 4 atoms:
Ca: 0.000 0.000 0.000
Ag: 0.250 0.250 0.250
Ag: 0.518 0.518 0.518
Pb: 0.774 0.774 0.774

Computed properties:
Final energy: -3.154 eV per atom
Energy of formation from the pure elements: 0.035 eV/atom
Space group: R3m (160)
Crystal system: trigonal
Magnetic moment: 0.00 Bohr magnetons per cell


2.
Density functional theory data (PBEsol) for a geometry-optimized Li5V2Ni3O10 structure.

a b c (Å): 4.979 5.146 7.421
angles (deg): 107.83 102.06 101.88
Fractional coordinates of all 20 atoms:
Li: 0.000 0.000 0.000
Li: 0.094 0.195 0.700
Li: 0.292 0.599 0.109
Li: 0.708 0.401 0.891
Li: 0.906 0.805 0.300
V: 0.395 0.794 0.814
V: 0.605 0.206 0.186
Ni: 0.196 0.389 0.398
Ni: 0.500 0.000 0.500
Ni: 0.804 0.611 0.602
O: 0.068 0.625 0.849
O: 0.176 0.796 0.552
O: 0.281 0.012 0.264
O: 0.359 0.182 0.951
O: 0.446 0.451 0.665
O: 0.554 0.549 0.335
O: 0.641 0.818 0.049
O: 0.719 0.988 0.736
O: 0.824 0.204 0.448
O: 0.932 0.375 0.151

Computed properties:
Final energy: -6.774 eV per atom
Space group: P-1 (2)
Crystal system: triclinic
Energy relative to the elements, uncorrected: -1.77 eV per atom
Magnetic moment: 5.01 Bohr magnetons per cell


3.
Density functional theory data (PBEsol) for a geometry-optimized LiCd2Ni structure.

a b c (Å): 5.005 5.005 5.005
angles (deg): 135.03 135.03 65.48
Fractional coordinates of all 4 atoms:
Li: 0.000 0.000 0.000
Cd: 0.250 0.750 0.500
Cd: 0.500 0.500 0.000
Ni: 0.750 0.250 0.500

Computed properties:
Final energy: -2.698 eV per atom
Energy of formation from the pure elements: -0.069 eV/atom
Space group: I-4m2 (119)
Crystal system: tetragonal
Magnetic moment: 0.00 Bohr magnetons per cell


4.
Density functional theory data (PBEsol) for a geometry-optimized Li2HfZnNi structure.

a b c (Å): 4.369 4.369 4.657
angles (deg): 90.00 90.00 90.00
Fractional coordinates of all 5 atoms:
Li: 0.000 0.500 0.000
Li: 0.500 0.000 0.000
Hf: 0.000 0.000 0.500
Zn: 0.500 0.500 0.500
Ni: 0.000 0.000 0.000

Computed properties:
Final energy: -4.042 eV per atom
Energy of formation from the pure elements: 0.393 eV/atom
Space group: P4/mmm (123)
Crystal system: tetragonal
Magnetic moment: 0.00 Bohr magnetons per cell


5.
Density functional theory data (PBEsol) for a geometry-optimized SrNiOs structure.

a b c (Å): 4.519 4.519 4.519
angles (deg): 60.00 60.00 60.00
Fractional coordinates of all 3 atoms:
Sr: 0.000 0.000 0.000
Ni: 0.250 0.250 0.250
Os: 0.750 0.750 0.750

Computed properties:
Final energy: -4.579 eV per atom
Energy of formation from the pure elements: 2.159 eV/atom
Space group: F-43m (216)
Crystal system: cubic
Magnetic moment: 2.11 Bohr magnetons per cell


6.
Density functional theory data (PBEsol) for a geometry-optimized SnGe2MoS structure.

a b c (Å): 5.016 5.016 4.427
angles (deg): 90.00 90.00 90.00
Fractional coordinates of all 5 atoms:
Sn: 0.000 0.000 0.000
Ge: 0.000 0.500 0.500
Ge: 0.500 0.000 0.500
Mo: 0.500 0.500 0.500
S: 0.500 0.500 0.000

Computed properties:
Final energy: -5.762 eV per atom
Space group: P4/mmm (123)
Crystal system: tetragonal
Energy relative to the elements, uncorrected: 0.30 eV per atom
Magnetic moment: 0.00 Bohr magnetons per cell


> Which value of magnetic moment does entry 5 give?

2.11 Bohr magnetons per cell